Below is a crystal of Sc3BiB relaxed with PBEsol, with properties calculated at the meta-GGA SCAN level.

The structure in extended XYZ format:
```
5
Lattice="-2.911 3.525 0.748 -2.073 -2.425 3.360 2.948 1.776 3.101" Properties=species:S:1:pos:R:3 pbc="T T T"
Sc -1.456 1.763 0.374
Sc 1.474 0.888 1.550
Sc -1.036 -1.212 1.680
Bi -1.018 1.439 3.604
B 0.000 0.000 0.000
```

Calculated values
As for the calculated total energy: -0.970 hartree per atom. The total magnetic moment comes out at 0.00 μB per formula unit. The calculation puts the formation energy at -317 kJ/mol of formula units.

=====

Below is a crystal of KTlCr relaxed with PBEsol, with properties calculated at the meta-GGA SCAN level.

The structure in extended XYZ format:
```
3
Lattice="3.228 0.000 0.000 0.000 4.393 0.000 -1.614 -2.197 6.152" Properties=species:S:1:pos:R:3 pbc="T T T"
Cr 1.614 2.197 5.389
Tl 0.000 0.000 4.822
K 1.614 2.197 2.094
```

Calculated values
As for the calculated total energy: -1.203 hartree per atom. The energy above the most stable polymorph in this dataset is 0.0 meV per atom. The total magnetic moment comes out at 4.17 μB per formula unit. The calculation puts the formation energy at 81 kJ/mol of formula units.

=====

Below is a crystal of LiFePO4 relaxed with PBEsol, with properties calculated at the meta-GGA SCAN level.

The structure in extended XYZ format:
```
28
Lattice="5.325 0.000 0.000 0.000 7.866 -0.044 0.000 -2.101 8.086" Properties=species:S:1:pos:R:3 pbc="T T T"
O 0.552 4.401 3.517
O 4.773 3.351 7.560
O 4.471 6.147 4.811
O 1.628 4.780 0.509
O 1.594 4.389 6.674
O 4.368 2.989 1.255
O 0.854 7.198 0.768
O 3.219 0.881 5.896
O 2.106 1.932 1.853
O 1.055 -0.275 6.505
O 1.779 -0.103 4.073
O 3.697 3.729 4.552
O 4.270 0.776 2.461
O 3.546 0.947 0.030
O 3.730 5.439 2.631
O 0.957 1.938 5.298
Li 1.832 -1.693 7.505
Li 4.442 2.411 5.799
Li 0.882 3.461 1.756
Li 3.493 -0.642 3.462
Fe 4.443 -0.645 6.465
Fe 1.777 3.693 4.864
Fe 3.548 4.743 0.821
Fe 0.882 0.405 2.422
P 3.572 1.672 1.406
P 0.866 3.857 7.933
P 4.459 4.907 3.890
P 1.752 0.622 5.449
```

Calculated values
As for the calculated total energy: -0.375 hartree per atom. The uncorrected formation energy is -2228 meV/atom. The energy above the most stable polymorph in this dataset is 20.3 meV per atom. The total magnetic moment comes out at 4.00 μB per formula unit.

=====

Below is a crystal of K3BrCl relaxed with PBEsol, with properties calculated at the meta-GGA SCAN level.

The structure in extended XYZ format:
```
5
Lattice="-1.479 -0.207 6.041 3.321 -5.225 0.634 5.051 3.375 1.352" Properties=species:S:1:pos:R:3 pbc="T T T"
Br 0.000 0.000 0.000
K 2.525 1.687 0.676
K -0.740 -0.103 3.021
K 1.661 -2.612 0.317
Cl 3.446 -1.028 4.014
```

Calculated values
As for the calculated total energy: -0.430 hartree per atom. The uncorrected formation energy is -1226 meV/atom. The total magnetic moment comes out at 0.00 μB per formula unit.

=====

Below is a crystal of K2CoIr relaxed with PBEsol, with properties calculated at the meta-GGA SCAN level.

The structure in extended XYZ format:
```
4
Lattice="-2.281 -0.352 1.469 -0.515 -5.020 -2.001 4.727 -1.419 2.343" Properties=species:S:1:pos:R:3 pbc="T T T"
K -1.072 -0.699 2.029
K 3.517 -1.072 1.784
Ir 0.965 -3.395 0.906
Co -1.398 -2.686 -0.266
```

Calculated values
As for the calculated total energy: -0.930 hartree per atom. The energy above the most stable polymorph in this dataset is 507.6 meV per atom. The total magnetic moment comes out at 1.86 μB per formula unit. The calculation puts the formation energy at 369 kJ/mol of formula units.

=====

Below is a crystal of ZrMo2Se relaxed with PBEsol, with properties calculated at the meta-GGA SCAN level.

The structure in extended XYZ format:
```
4
Lattice="-1.052 0.965 3.063 -0.380 -3.894 1.096 4.627 -0.004 1.590" Properties=species:S:1:pos:R:3 pbc="T T T"
Mo 0.000 0.000 0.000
Mo -0.716 -1.465 2.080
Zr 2.123 -1.949 1.343
Se 1.788 0.480 2.327
```

Calculated values
As for the calculated total energy: -1.110 hartree per atom. The uncorrected formation energy is -57 meV/atom. The total magnetic moment comes out at 0.00 μB per formula unit.

=====

Below is a crystal of CsKZn3 relaxed with PBEsol, with properties calculated at the meta-GGA SCAN level.

The structure in extended XYZ format:
```
5
Lattice="-2.827 -3.468 4.083 5.022 -0.110 3.384 -1.863 4.964 2.927" Properties=species:S:1:pos:R:3 pbc="T T T"
Zn 2.511 -0.055 1.692
Zn -0.932 2.482 1.463
Zn -1.413 -1.734 2.041
Cs 0.166 0.693 5.197
K 0.000 0.000 0.000
```

Calculated values
As for the calculated total energy: -0.616 hartree per atom. The energy above the most stable polymorph in this dataset is 0.0 meV per atom. The total magnetic moment comes out at 0.00 μB per formula unit. The calculation puts the formation energy at 273 kJ/mol of formula units.

=====

Below is a crystal of PPt2Cl relaxed with PBEsol, with properties calculated at the meta-GGA SCAN level.

The structure in extended XYZ format:
```
4
Lattice="2.839 0.000 0.000 0.000 4.007 0.000 0.000 0.000 5.820" Properties=species:S:1:pos:R:3 pbc="T T T"
P 0.000 2.004 2.910
Pt 0.000 0.000 0.000
Pt 1.419 0.000 2.910
Cl 1.419 2.004 0.000
```

Calculated values
As for the calculated total energy: -1.440 hartree per atom. The uncorrected formation energy is 497 meV/atom. The energy above the most stable polymorph in this dataset is 725.6 meV per atom. The total magnetic moment comes out at 0.81 μB per formula unit.